{
  "formula": "BaLaMnMoO6",
  "functional": "GGA+U",
  "state": "optimized geometry",
  "space_group": "No. 216",
  "final_energy_ev_per_atom": -7.399,
  "lattice": [[0.000, 4.108, 4.108], [4.108, 0.000, 4.108], [4.108, 4.108, 0.000]],
  "species": ["Mo", "Ba", "O", "O", "Mn", "O", "O", "La", "O", "O"],
  "frac_coords": [[0.500, 0.500, 0.500], [0.750, 0.750, 0.750], [0.742, 0.258, 0.258], [0.258, 0.742, 0.258], [0.000, 0.000, 0.000], [0.258, 0.258, 0.742], [0.258, 0.742, 0.742], [0.250, 0.250, 0.250], [0.742, 0.258, 0.742], [0.742, 0.742, 0.258]]
}